<1>
An optimized crystal structure of AsRhBr2N, computed with PBE-GGA.

a = 4.4343 Å, b = 4.4343 Å, c = 4.5547 Å
α = 90.00°, β = 90.00°, γ = 90.00°
Last column: nearest neighbours and their distance in Å.
Space group P4/mmm (No. 123)
Inequivalent atoms, fractional coordinates:
As: 0.0000 0.0000 0.0000 [1 per cell]  2 N 2.28
Rh: 0.5000 0.5000 0.0000 [1 per cell]  4 As 3.14, 8 Br 3.18
Br: 0.0000 0.5000 0.5000 [2 per cell]  2 N 2.22
N: 0.0000 0.0000 0.5000 [1 per cell]  4 Br 2.22, 2 As 2.28

Values from the calculation:
**Mass density**: 6.52 Mg/m³

***

<2>
An optimized crystal structure of AsRhBr2N, computed with PBE-GGA.

a = 5.3007 Å, b = 5.3007 Å, c = 4.6091 Å
α = 90.00°, β = 90.00°, γ = 90.00°
Last column: nearest neighbours and their distance in Å.
Space group P4/mmm (No. 123)
Inequivalent atoms, fractional coordinates:
As: 0.0000 0.0000 0.0000 [1 per cell]  2 Rh 2.30
Rh: 0.0000 0.0000 0.5000 [1 per cell]  2 As 2.30
Br: 0.0000 0.5000 0.5000 [2 per cell]  2 Rh 2.65
N: 0.5000 0.5000 0.0000 [1 per cell]  8 Br 3.51, 4 As 3.75

Values from the calculation:
**Mass density**: 4.51 Mg/m³

***

Of them, <2> has the highest stability.